## PaPdRh3 (PBE-GGA)

Data for a relaxed structure of PaPdRh3.

Unit cell a=7.8856 b=7.8856 c=4.8040 alpha=90.00 beta=90.00 gamma=140.77
Last column: nearest neighbours and their distance in Å.
Element x y z (fractional)
Pa: 0.7131 0.2869 0.2500  2 Rh 2.53, 1 Pd 2.57
Pa: 0.2869 0.7131 0.7500  2 Rh 2.53, 1 Pd 2.57
Pd: 0.5399 0.4601 0.2500  1 Pa 2.57, 2 Pd 2.68
Pd: 0.4601 0.5399 0.7500  1 Pa 2.57, 2 Pd 2.68
Rh: 0.1117 0.3970 0.2500  1 Pa 2.53, 4 Rh 2.60-2.78
Rh: 0.6030 0.8883 0.2500  1 Pa 2.53, 4 Rh 2.60-2.78
Rh: 0.3970 0.1117 0.7500  1 Pa 2.53, 4 Rh 2.60-2.78
Rh: 0.8883 0.6030 0.7500  1 Pa 2.53, 4 Rh 2.60-2.78
Rh: 0.0000 0.0000 0.0000  2 Rh 2.40
Rh: 0.0000 0.0000 0.5000  2 Rh 2.40

Output
* SG: No. 63
* ΔH_f (0 K): -242.8 meV/atom
* DFT total energy: -7.59 eV per atom
* volume: 18.89 Å³/atom
* density: 11.4 Mg/m³


## LiZr2Ni2 (PBE-GGA)

Data for a relaxed structure of LiZr2Ni2.

Unit cell a=7.2709 b=7.2709 c=3.2139 alpha=90.00 beta=90.00 gamma=90.00
Last column: nearest neighbours and their distance in Å.
Element x y z (fractional)
Ni: 0.3716 0.8716 0.0000  1 Ni 2.64, 6 Zr 2.66-2.69, 2 Li 2.86
Ni: 0.8716 0.6284 0.0000  1 Ni 2.64, 6 Zr 2.66-2.69, 2 Li 2.86
Ni: 0.6284 0.1284 0.0000  1 Ni 2.64, 6 Zr 2.66-2.69, 2 Li 2.86
Ni: 0.1284 0.3716 0.0000  1 Ni 2.64, 6 Zr 2.66-2.69, 2 Li 2.86
Zr: 0.1659 0.6659 0.5000  6 Ni 2.66-2.69
Zr: 0.6659 0.8341 0.5000  6 Ni 2.66-2.69
Zr: 0.8341 0.3341 0.5000  6 Ni 2.66-2.69
Zr: 0.3341 0.1659 0.5000  6 Ni 2.66-2.69
Li: 0.0000 0.0000 0.0000  4 Ni 2.86, 8 Zr 3.15
Li: 0.5000 0.5000 0.0000  4 Ni 2.86, 8 Zr 3.15

Output
* offset from the most stable computed form: 0 meV/atom
* SG: No. 127
* ΔH_f (0 K): -259.8 meV/atom
* DFT total energy: -6.37 eV per atom
* volume: 16.99 Å³/atom
* density: 6.0 Mg/m³


## Nb3ZnH (PBE-GGA)

Data for a relaxed structure of Nb3ZnH.

Unit cell a=4.1557 b=4.1557 c=4.1557 alpha=90.00 beta=90.00 gamma=90.00
Last column: nearest neighbours and their distance in Å.
Element x y z (fractional)
H: 0.0000 0.0000 0.0000  6 Nb 2.08
Nb: 0.0000 0.5000 0.0000  2 H 2.08
Nb: 0.0000 0.0000 0.5000  2 H 2.08
Nb: 0.5000 0.0000 0.0000  2 H 2.08
Zn: 0.5000 0.5000 0.5000  12 Nb 2.94

Output
* offset from the most stable computed form: 0 meV/atom
* SG: No. 221
* DFT total energy: -7.04 eV per atom
* volume: 14.35 Å³/atom
* density: 8.0 Mg/m³